Below is a relaxed structure of Mg5Ga2, with properties calculated at the PBE level.

```
Mg5Ga2
1.0
-4.399 5.902 3.758
0.550 -0.494 8.232
5.183 0.545 -6.415
Mg Ga
10 4
Cartesian
3.404 1.297 4.152 Mg
0.538 1.271 3.243 Mg
-2.070 4.657 1.424 Mg
1.143 1.284 6.309 Mg
1.433 0.013 0.454 Mg
-1.482 3.244 4.582 Mg
0.796 4.682 2.332 Mg
2.816 2.709 0.994 Mg
0.191 4.669 -0.733 Mg
4.300 0.039 1.363 Mg
-0.265 2.367 0.768 Ga
3.546 1.067 -1.263 Ga
-2.212 4.886 6.839 Ga
1.599 3.586 4.808 Ga
```

Output
Energy above the lowest structure with this stoichiometry (meV per atom): 0.0
SG: Ibam (72)
Density of states at the Fermi level (states/eV per cell): 5.79
E_form (meV/atom): -128


Below is a relaxed structure of SrY2Al9, with properties calculated at the PBE level.

```
SrY2Al9
1.0
5.429 0.000 1.616
2.474 4.833 1.616
0.157 0.096 9.402
Al Y Sr
9 2 1
Cartesian
6.069 2.011 4.548 Al
4.556 4.486 4.548 Al
5.251 3.211 2.215 Al
3.504 0.442 8.085 Al
1.990 2.917 8.085 Al
4.771 2.917 8.913 Al
4.030 2.464 6.317 Al
3.289 2.011 3.721 Al
2.809 1.718 10.419 Al
1.212 0.741 5.856 Y
6.848 4.187 6.778 Y
0.000 0.000 0.000 Sr
```

Output
SG: R-3m (166)
Density of states at the Fermi level (states/eV per cell): 4.36
E_form (meV/atom): -339


Below is a relaxed structure of NaAl2Cl6, with properties calculated at the PBE level.

```
NaAl2Cl6
1.0
-1.886 3.350 -5.673
-0.636 -3.383 -5.926
-8.074 -1.413 -2.290
Na Cl Al
1 6 2
Cartesian
-0.844 -0.012 -3.865 Na
-3.623 -1.560 -9.049 Cl
-7.720 -0.214 -8.533 Cl
-6.656 -3.267 -6.368 Cl
-2.919 -1.223 -5.520 Cl
-6.984 0.252 -4.741 Cl
-3.901 1.670 -7.452 Cl
-3.018 -0.281 -7.441 Al
-8.419 -1.176 -10.313 Al
```

Output
E_form (uncorrected) (eV/atom): -1.41
SG: R3 (146)


Below is a relaxed structure of CeDyF2, with properties calculated at the PBE level.

```
CeDyF2
1.0
-2.883 -1.196 1.533
-1.845 -2.535 -1.503
2.732 -6.671 3.877
Ce F Dy
1 2 1
Cartesian
-0.998 -5.201 1.953 Ce
1.531 -5.159 2.799 F
-3.527 -5.243 1.107 F
0.000 0.000 0.000 Dy
```

Output
E_form (uncorrected) (eV/atom): -2.31
SG: R-3m (166)
Density of states at the Fermi level (states/eV per cell): 5.23


Below is a relaxed structure of ZnTcTe, with properties calculated at the PBE level.

```
ZnTcTe
1.0
-5.394 -3.178 -2.774
-1.711 -5.655 -3.461
3.190 3.340 5.055
Zn Tc Te
1 1 1
Cartesian
-4.390 -5.458 -3.853 Zn
-7.103 -8.832 -6.234 Tc
-2.715 -3.376 -2.383 Te
```

Output
Energy above the lowest structure with this stoichiometry (meV per atom): 0.0
E_form (uncorrected) (eV/atom): 0.15
SG: I4mm (107)
Density of states at the Fermi level (states/eV per cell): 1.77


Below is a relaxed structure of MnCoNi4, with properties calculated at the PBE level.

```
MnCoNi4
1.0
-0.697 4.766 0.224
-3.537 -2.884 1.452
4.685 -0.866 5.566
Ni Co Mn
8 2 2
Cartesian
1.504 -0.686 6.363 Ni
2.955 3.209 5.736 Ni
0.552 -0.719 3.984 Ni
-0.100 1.735 3.258 Ni
-1.547 -2.171 3.884 Ni
-1.052 1.702 0.879 Ni
1.999 3.187 3.358 Ni
-2.503 -2.194 1.507 Ni
0.332 -2.578 5.474 Co
0.119 3.593 1.768 Co
-1.300 -0.232 2.385 Mn
1.752 1.248 4.857 Mn
```

Output
Energy above the lowest structure with this stoichiometry (meV per atom): 146.1
SG: C2/c (15)
Density of states at the Fermi level (states/eV per cell): 16.48
E_form (meV/atom): 133


Below is a relaxed structure of LaPr7Cd4, with properties calculated at the PBE level.

```
LaPr7Cd4
1.0
5.945 0.000 0.000
2.972 8.778 0.982
2.972 1.054 7.512
Pr Cd La
7 4 1
Cartesian
5.945 2.951 1.965 Pr
2.972 0.000 0.000 Pr
8.917 4.365 5.872 Pr
5.945 6.881 6.528 Pr
8.917 8.303 4.815 Pr
2.972 5.467 2.621 Pr
2.972 1.530 3.678 Pr
2.972 3.031 0.494 Cd
5.945 3.169 5.050 Cd
5.945 6.664 3.444 Cd
8.917 6.801 7.999 Cd
0.000 0.000 0.000 La
```

Output
SG: C2/m (12)
Density of states at the Fermi level (states/eV per cell): 14.55
E_form (meV/atom): -42


Number 1: raw total energy -29.840 eV/cell. Number 2: raw total energy -52.356 eV/cell. Number 3: raw total energy -32.531 eV/cell. Number 4: raw total energy -23.528 eV/cell. Number 5: raw total energy -14.323 eV/cell. Number 6: raw total energy -77.207 eV/cell. Number 7: raw total energy -42.553 eV/cell.